Record 1
Density functional theory data (PBE) for a geometry-optimized BeAl3Cr structure.

```
5
Lattice="4.5822 0.0000 0.0000 0.0000 4.5822 0.0000 0.0000 0.0000 4.5822" Properties=species:S:1:pos:R:3 pbc="T T T"
Be 0.0000 0.0000 0.0000
Al 0.0000 2.2911 2.2911
Al 2.2911 0.0000 2.2911
Al 2.2911 2.2911 0.0000
Cr 2.2911 2.2911 2.2911
```

Raw total energy, eV per cell: -19.77
D(E_F), states/eV per atom: 0.645

Record 2
Density functional theory data (PBE) for a geometry-optimized Cs2CrAuSe structure.

```
5
Lattice="6.9632 0.0000 0.0000 0.0000 6.9632 0.0000 0.0000 0.0000 4.7428" Properties=species:S:1:pos:R:3 pbc="T T T"
Cs 0.0000 3.4816 0.0000
Cs 3.4816 0.0000 0.0000
Cr 0.0000 0.0000 0.0000
Au 3.4816 3.4816 2.3714
Se 0.0000 0.0000 2.3714
```

Raw total energy, eV per cell: -18.69
Uncorrected formation energy, eV/atom: -0.119
D(E_F), states/eV per atom: 0.037

Record 3
Density functional theory data (PBE) for a geometry-optimized Ca2InGa2 structure.

```
5
Lattice="-1.8813 1.8813 9.5544 1.8813 -1.8813 9.5544 1.8813 1.8813 -9.5544" Properties=species:S:1:pos:R:3 pbc="T T T"
Ca 0.0000 0.0000 2.0579
Ca 0.0000 0.0000 17.0509
In 0.0000 0.0000 9.5544
Ga 1.8813 0.0000 4.7772
Ga 0.0000 1.8813 4.7772
```

Polymorph energy (0 for the lowest one), meV per atom: 188
Raw total energy, eV per cell: -14.14
D(E_F), states/eV per atom: 0.570

Record 4
Density functional theory data (PBE) for a geometry-optimized BaCdBr structure.

```
6
Lattice="13.0121 0.0000 0.0000 0.0000 2.5240 4.3582 0.0000 -2.5240 4.3582" Properties=species:S:1:pos:R:3 pbc="T T T"
Ba 2.2162 0.0000 0.0000
Ba 10.7959 0.0000 0.0000
Cd 0.0000 0.0000 2.9052
Cd 6.5061 0.0000 0.0050
Br 3.6814 0.0000 2.9105
Br 9.3307 0.0000 2.9105
```

Polymorph energy (0 for the lowest one), meV per atom: 0
Raw total energy, eV per cell: -14.45
Uncorrected formation energy, eV/atom: -0.905
D(E_F), states/eV per atom: 0.378

Record 5
Density functional theory data (PBE) for a geometry-optimized Nd3CdHg structure.

```
10
Lattice="3.5384 2.0429 8.0072 -3.5384 2.0429 8.0072 0.0000 -4.0858 8.0072" Properties=species:S:1:pos:R:3 pbc="T T T"
Nd 0.0000 -2.0261 6.5267
Nd -1.7547 1.0130 6.5267
Nd -1.7547 -1.0131 17.4949
Nd 1.7547 1.0131 6.5267
Nd 1.7547 -1.0131 17.4949
Nd 0.0000 2.0261 17.4949
Cd 0.0000 0.0000 9.1622
Cd 0.0000 0.0000 14.8594
Hg 0.0000 0.0000 3.9854
Hg 0.0000 0.0000 20.0362
```

Polymorph energy (0 for the lowest one), meV per atom: 222
Raw total energy, eV per cell: -31.85
D(E_F), states/eV per atom: 0.919

Record 6
Density functional theory data (PBE) for a geometry-optimized Nb3SbF structure.

```
5
Lattice="4.3875 0.0000 0.0000 0.0000 4.3875 0.0000 0.0000 0.0000 4.3875" Properties=species:S:1:pos:R:3 pbc="T T T"
Nb 0.0000 0.0000 2.1938
Nb 0.0000 2.1938 0.0000
Nb 2.1938 0.0000 0.0000
Sb 2.1938 2.1938 2.1938
F 0.0000 0.0000 0.0000
```

Polymorph energy (0 for the lowest one), meV per atom: 0
Raw total energy, eV per cell: -36.85
Uncorrected formation energy, eV/atom: -0.130
D(E_F), states/eV per atom: 0.824

Record 7
Density functional theory data (PBE) for a geometry-optimized La3NbPd12 structure.

```
16
Lattice="4.1685 0.0000 0.0000 0.0000 4.1685 0.0000 0.0000 0.0000 16.6477" Properties=species:S:1:pos:R:3 pbc="T T T"
La 0.0000 0.0000 0.0000
La 0.0000 0.0000 4.2249
La 0.0000 0.0000 12.4227
Nb 0.0000 0.0000 8.3238
Pd 0.0000 2.0843 2.1538
Pd 0.0000 2.0843 6.4958
Pd 0.0000 2.0843 10.1518
Pd 0.0000 2.0843 14.4938
Pd 2.0843 0.0000 2.1538
Pd 2.0843 0.0000 6.4958
Pd 2.0843 0.0000 10.1518
Pd 2.0843 0.0000 14.4938
Pd 2.0843 2.0843 0.0000
Pd 2.0843 2.0843 4.3414
Pd 2.0843 2.0843 8.3238
Pd 2.0843 2.0843 12.3063
```

Raw total energy, eV per cell: -98.30
D(E_F), states/eV per atom: 0.291

Record 8
Density functional theory data (PBE) for a geometry-optimized TiOsRhO6 structure.

```
18
Lattice="4.9976 0.0000 0.0000 -2.4988 4.3280 0.0000 0.0000 0.0000 8.9346" Properties=species:S:1:pos:R:3 pbc="T T T"
Ti 0.0000 2.8854 2.2337
Ti 2.4988 1.4427 6.7010
Os 0.0000 2.8854 6.7010
Os 2.4988 1.4427 2.2337
Rh 0.0000 0.0000 0.0000
Rh 0.0000 0.0000 4.4673
O -0.8475 1.4849 5.6083
O -1.6366 2.8516 7.7936
O 0.8475 1.4849 7.7936
O -0.7891 4.3196 5.6083
O 1.7097 0.0085 1.1410
O 0.8622 1.4764 3.3263
O 1.6366 2.8516 5.6083
O 0.7891 4.3196 7.7936
O 3.2879 0.0085 3.3263
O 1.6513 2.8431 1.1410
O 4.1354 1.4764 1.1410
O 3.3463 2.8431 3.3263
```

Raw total energy, eV per cell: -139.53
Uncorrected formation energy, eV/atom: -1.504
D(E_F), states/eV per atom: 0.629

Record 9
Density functional theory data (PBE) for a geometry-optimized KDy2OsO8 structure.

```
12
Lattice="4.1326 0.0000 0.0000 0.1022 5.2965 0.0000 1.8478 0.0358 6.9087" Properties=species:S:1:pos:R:3 pbc="T T T"
K 0.0000 0.0000 0.0000
Dy 2.1790 2.7601 1.9760
Dy 3.9037 2.5722 4.9327
Os 0.9239 0.0179 3.4543
O 0.7954 2.6099 0.0198
O 1.8740 1.6937 4.0210
O 2.1162 4.1855 4.4053
O 2.0403 5.0414 1.8560
O 4.0423 0.2909 5.0527
O 3.9665 1.1468 2.5034
O 4.2086 3.6386 2.8877
O 5.2872 2.7224 6.8889
```

Raw total energy, eV per cell: -84.92
Uncorrected formation energy, eV/atom: -1.977
D(E_F), states/eV per atom: 0.176

Record 10
Density functional theory data (PBE) for a geometry-optimized Nd7Co2Ag2 structure.

```
11
Lattice="3.8961 -5.7133 0.0000 3.8961 5.7133 0.0000 0.0000 0.0000 7.1158" Properties=species:S:1:pos:R:3 pbc="T T T"
Nd 0.0000 0.0000 0.0000
Nd 1.9480 2.8566 1.7824
Nd 1.9480 2.8566 5.3334
Nd 1.9480 -2.8566 1.7824
Nd 1.9480 -2.8566 5.3334
Nd 3.8961 0.0000 1.7109
Nd 3.8961 0.0000 5.4050
Co 3.8961 2.2790 0.0000
Co 3.8961 -2.2790 0.0000
Ag 1.3575 0.0000 3.5579
Ag 6.4346 0.0000 3.5579
```

Raw total energy, eV per cell: -53.76
D(E_F), states/eV per atom: 1.045

Record 11
Density functional theory data (PBE) for a geometry-optimized La4Ce3VN8 structure.

```
16
Lattice="3.5587 2.0546 5.8989 -3.5587 2.0546 5.8989 0.0000 -4.1093 5.8989" Properties=species:S:1:pos:R:3 pbc="T T T"
La 0.0000 0.0000 0.0000
La -1.7794 -1.0273 5.8989
La -1.7794 1.0273 11.7977
La 0.0000 2.0546 5.8989
Ce -3.5587 0.0000 8.8483
Ce -1.7794 1.0273 2.9494
Ce 1.7794 1.0273 2.9494
V 0.0000 0.0000 8.8483
N 0.0000 0.0000 4.2759
N -1.7227 -0.9946 10.1498
N 0.0000 -1.9892 7.5468
N -1.7227 0.9946 7.5468
N 1.7227 -0.9946 10.1498
N 0.0000 1.9893 10.1498
N 1.7227 0.9946 7.5468
N 0.0000 0.0000 13.4207
```

Raw total energy, eV per cell: -133.12
Uncorrected formation energy, eV/atom: -1.243
D(E_F), states/eV per atom: 0.452

Record 12
Density functional theory data (PBE) for a geometry-optimized Ce3TlSn structure.

```
10
Lattice="-2.8801 6.1300 4.5153 2.8801 -6.1300 4.5153 2.8801 6.1300 -4.5153" Properties=species:S:1:pos:R:3 pbc="T T T"
Ce 0.0000 0.4492 1.3126
Ce 2.8801 3.0650 0.1905
Ce 2.8801 0.4492 3.2028
Ce 0.0000 5.6808 1.3126
Ce 0.0000 3.0650 4.3248
Ce 2.8801 5.6808 3.2028
Tl 2.8801 -3.0650 3.2104
Tl 0.0000 9.1951 1.3050
Sn 2.8801 0.0000 0.0000
Sn 0.0000 0.0000 4.5153
```

Raw total energy, eV per cell: -49.82
D(E_F), states/eV per atom: 3.326

Record 13
Density functional theory data (PBE) for a geometry-optimized GdDyMgIr structure.

```
4
Lattice="0.0000 3.5686 3.5686 3.5686 0.0000 3.5686 3.5686 3.5686 0.0000" Properties=species:S:1:pos:R:3 pbc="T T T"
Gd 0.0000 0.0000 0.0000
Dy 3.5686 3.5686 3.5686
Mg 5.3528 5.3528 5.3528
Ir 1.7843 1.7843 1.7843
```

Raw total energy, eV per cell: -30.87
D(E_F), states/eV per atom: 0.632

Record 14
Density functional theory data (PBE) for a geometry-optimized Tb2TlBi structure.

```
16
Lattice="8.3550 0.0000 0.0000 0.0000 4.1886 0.0000 0.0000 0.0000 14.4235" Properties=species:S:1:pos:R:3 pbc="T T T"
Tb 1.5776 1.0471 3.4208
Tb 1.6312 3.1414 14.3404
Tb 2.5463 1.0471 7.1286
Tb 2.5999 3.1414 10.6326
Tb 5.7551 1.0471 3.7909
Tb 5.8087 3.1414 7.2950
Tb 6.7238 1.0471 0.0832
Tb 6.7774 3.1414 11.0027
Tl 0.3787 3.1414 8.4242
Tl 3.7988 1.0471 1.2124
Tl 4.5562 3.1414 13.2111
Tl 7.9763 1.0471 5.9994
Bi 0.5831 1.0471 12.1395
Bi 3.5944 3.1414 4.9277
Bi 4.7606 1.0471 9.4958
Bi 7.7718 3.1414 2.2840
```

Polymorph energy (0 for the lowest one), meV per atom: 114
Raw total energy, eV per cell: -69.63
D(E_F), states/eV per atom: 0.615

Record 15
Density functional theory data (PBE) for a geometry-optimized K3BaHg structure.

```
5
Lattice="6.7843 0.0000 0.0000 0.0000 6.7843 0.0000 0.0000 0.0000 6.7843" Properties=species:S:1:pos:R:3 pbc="T T T"
K 0.0000 0.0000 3.3922
K 0.0000 3.3922 0.0000
K 3.3922 0.0000 0.0000
Ba 3.3922 3.3922 3.3922
Hg 0.0000 0.0000 0.0000
```

Polymorph energy (0 for the lowest one), meV per atom: 0
Raw total energy, eV per cell: -5.34
D(E_F), states/eV per atom: 0.938

Record 16
Density functional theory data (PBE) for a geometry-optimized LiReAu2 structure.

```
4
Lattice="1.4145 0.8167 9.2425 -1.4145 0.8167 9.2425 0.0000 -1.6333 9.2425" Properties=species:S:1:pos:R:3 pbc="T T T"
Li 0.0000 0.0000 0.0000
Re 0.0000 0.0000 13.8637
Au 0.0000 0.0000 6.9994
Au 0.0000 0.0000 20.7280
```

Polymorph energy (0 for the lowest one), meV per atom: 108
Raw total energy, eV per cell: -20.27
D(E_F), states/eV per atom: 1.160

Record 17
Density functional theory data (PBE) for a geometry-optimized Li3U3AuSe8 structure.

```
15
Lattice="3.9727 2.2936 6.5864 -3.9727 2.2936 6.5864 0.0000 -4.5873 6.5864" Properties=species:S:1:pos:R:3 pbc="T T T"
Li -1.9863 -1.1468 6.5864
Li -1.9863 1.1468 13.1729
Li 0.0000 2.2936 6.5864
U -3.9727 0.0000 9.8797
U -1.9863 1.1468 3.2932
U 1.9863 1.1468 3.2932
Au 0.0000 0.0000 9.8797
Se -2.0301 -1.1721 11.5467
Se 0.0000 -2.3442 8.2126
Se -2.0301 1.1721 8.2126
Se 0.0000 0.0000 5.0266
Se 0.0000 0.0000 14.7327
Se 2.0301 -1.1721 11.5468
Se 0.0000 2.3442 11.5468
Se 2.0301 1.1721 8.2126
```

Raw total energy, eV per cell: -85.76
Uncorrected formation energy, eV/atom: -1.000
D(E_F), states/eV per atom: 0.838

Record 18
Density functional theory data (PBE) for a geometry-optimized KYSn structure.

```
6
Lattice="13.0912 -2.2743 0.0000 13.0912 2.2743 0.0000 -0.6817 0.0000 4.1898" Properties=species:S:1:pos:R:3 pbc="T T T"
K 0.0000 0.0000 0.0000
K 16.3349 0.0000 2.6774
Y 6.4563 0.0000 3.2313
Y 9.5383 0.0000 1.5827
Sn 19.9161 0.0000 1.1400
Sn 22.0291 0.0000 3.6357
```

Polymorph energy (0 for the lowest one), meV per atom: 67
Raw total energy, eV per cell: -25.10
D(E_F), states/eV per atom: 0.789

Record 19
Density functional theory data (PBE) for a geometry-optimized GaNi4Sn structure.

```
6
Lattice="0.0000 3.4260 3.4260 3.4260 0.0000 3.4260 3.4260 3.4260 0.0000" Properties=species:S:1:pos:R:3 pbc="T T T"
Ga 0.0000 0.0000 0.0000
Ni 2.5673 2.5673 2.5673
Ni 4.2847 4.2847 2.5673
Ni 4.2847 2.5673 4.2847
Ni 2.5673 4.2847 4.2847
Sn 5.1390 5.1390 5.1390
```

Polymorph energy (0 for the lowest one), meV per atom: 108
Raw total energy, eV per cell: -30.54
D(E_F), states/eV per atom: 0.933

Record 20
Density functional theory data (PBE) for a geometry-optimized MgPdS structure.

```
6
Lattice="4.4314 0.0000 0.0000 -0.9012 4.3455 0.0000 -0.0982 -0.1359 6.1106" Properties=species:S:1:pos:R:3 pbc="T T T"
Mg 0.0000 0.0000 0.0000
Mg 1.5080 1.8428 3.7559
Pd 1.8529 0.0272 1.8765
Pd 3.2762 2.4786 1.8759
S -0.2628 3.5337 3.7692
S 2.3190 1.2570 6.0957
```

Raw total energy, eV per cell: -26.09
Uncorrected formation energy, eV/atom: -0.709
D(E_F), states/eV per atom: 0.040

Record 21
Density functional theory data (PBE) for a geometry-optimized LiY2Sc structure.

```
4
Lattice="3.5387 0.0000 0.0000 0.0000 3.5387 0.0000 0.0000 0.0000 8.5811" Properties=species:S:1:pos:R:3 pbc="T T T"
Li 0.0000 0.0000 0.0000
Y 0.0000 0.0000 3.9754
Y 1.7693 1.7693 6.5407
Sc 1.7693 1.7693 1.6703
```

Polymorph energy (0 for the lowest one), meV per atom: 16
Raw total energy, eV per cell: -20.80
D(E_F), states/eV per atom: 1.349

Record 22
Density functional theory data (PBE) for a geometry-optimized U2ZnSi4Ir3 structure.

```
10
Lattice="4.1032 0.0000 0.0000 0.0000 4.1032 0.0000 0.0000 0.0000 10.0224" Properties=species:S:1:pos:R:3 pbc="T T T"
U 0.0000 2.0516 2.4693
U 2.0516 0.0000 7.5532
Zn 0.0000 0.0000 5.0112
Si 0.0000 0.0000 0.0000
Si 0.0000 2.0516 6.3936
Si 2.0516 0.0000 3.6288
Si 2.0516 2.0516 0.0000
Ir 0.0000 2.0516 8.7508
Ir 2.0516 0.0000 1.2716
Ir 2.0516 2.0516 5.0112
```

Raw total energy, eV per cell: -78.36
Uncorrected formation energy, eV/atom: -0.623
D(E_F), states/eV per atom: 1.493

Record 23
Density functional theory data (PBE) for a geometry-optimized BePd3Cl structure.

```
5
Lattice="4.3317 0.0000 0.0000 0.0000 4.3317 0.0000 0.0000 0.0000 4.3317" Properties=species:S:1:pos:R:3 pbc="T T T"
Be 0.0000 0.0000 0.0000
Pd 0.0000 0.0000 2.1658
Pd 0.0000 2.1658 0.0000
Pd 2.1658 0.0000 0.0000
Cl 2.1658 2.1658 2.1658
```

Polymorph energy (0 for the lowest one), meV per atom: 0
Raw total energy, eV per cell: -20.14
Uncorrected formation energy, eV/atom: 0.201
D(E_F), states/eV per atom: 0.733

Record 24
Density functional theory data (PBE) for a geometry-optimized Cr2ReTc structure.

```
4
Lattice="0.0000 2.9935 2.9935 2.9935 0.0000 2.9935 2.9935 2.9935 0.0000" Properties=species:S:1:pos:R:3 pbc="T T T"
Cr 0.0000 0.0000 0.0000
Cr 1.4967 1.4967 1.4967
Re 4.4902 4.4902 4.4902
Tc 2.9935 2.9935 2.9935
```

Raw total energy, eV per cell: -41.64
D(E_F), states/eV per atom: 1.269